VASP calculation (PBE) on a relaxed ZnCo2Ir crystal.

```
ZnCo2Ir
1.0
4.904 0.008 0.014
2.237 4.364 -0.014
-3.073 -2.998 2.370
Zn Co Ir
1 2 1
Cartesian
1.303 1.737 1.178
2.776 -0.356 1.192
7.102 4.349 0.000
3.597 2.203 0.000
```

Summary:
Space-group type: Imm2
Calculated formation energy: 0.030 eV per atom
Theoretical density: 12.3 g cm⁻³


VASP calculation (PBE) on a relaxed BaTlAgF6 crystal.

```
BaTlAgF6
1.0
-0.980 4.314 4.266
-5.409 2.904 0.307
-1.863 -3.870 3.503
Ba F Ag Tl
1 6 1 1
Cartesian
-1.869 -3.863 3.507
-1.327 1.769 3.685
-2.353 0.030 1.228
-3.755 0.891 5.332
-4.813 -0.808 2.877
-4.264 2.189 2.576
-1.852 -1.252 3.951
-5.188 2.874 4.797
-3.064 0.473 3.277
```

Summary:
Space-group type: C2
Energy relative to the elements, uncorrected: -21.0 eV per formula unit
Theoretical density: 5.2 g cm⁻³


VASP calculation (PBE) on a relaxed In2ReRh crystal.

```
In2ReRh
1.0
2.928 0.000 0.000
0.000 2.928 0.000
0.000 0.000 8.680
Re In Rh
1 2 1
Cartesian
0.000 0.000 4.613
1.464 1.464 2.492
0.000 0.000 8.334
1.464 1.464 6.260
```

Summary:
Space-group type: P4mm
Energy above the most stable polymorph in this dataset: 0.0 meV/atom
Calculated formation energy: 0.148 eV per atom
Theoretical density: 11.6 g cm⁻³